#one
An optimized crystal structure of TbEuNi. Source: Alexandria via LeMat-Bulk, functional GGA-PBE.

Cell: 3.493 3.493 12.756 Å, 90.00 90.00 90.00°
Space group I4mm (No. 107)
One atom of each set of equivalent atoms:
1 Tb 0.000 0.000 0.000 x2
2 Eu 0.000 0.000 0.741 x2
3 Ni 0.000 0.000 0.391 x2

Calculated values
For the total magnetic moment, the calculation gives 7.3 μB per formula unit. Its calculated volume is 25.94 A^3/atom.

---

#two
An optimized crystal structure of TbEuNi. Source: Alexandria via LeMat-Bulk, functional GGA-PBE.

Cell: 3.9773 3.9773 6.4656 Å, 90.00 90.00 120.00°
Space group P3m1 (No. 156)
One atom of each set of equivalent atoms:
1 Tb 0.0000 0.0000 0.0000 x1
2 Eu 0.6667 0.3333 0.5198 x1
3 Ni 0.3333 0.6667 0.7858 x1

Calculated values
For the total magnetic moment, the calculation gives 7.3 μB per formula unit. Its calculated volume is 29.53 A^3/atom.

---

Which structure is the least stable? The one labeled #two.

---

#one
An optimized crystal structure of EuThNi2. Source: Alexandria via LeMat-Bulk, functional GGA-PBE.

Cell: 6.959 6.959 6.959 Å, 90.00 90.00 90.00°
Space group Fm-3m (No. 225)
One atom of each set of equivalent atoms:
1 Eu 0.000 0.000 0.000 x4
2 Th 0.000 0.000 0.500 x4
3 Ni 0.250 0.250 0.250 x8

Calculated values
For the total magnetic moment, the calculation gives 6.9 μB per formula unit. Its calculated volume is 21.07 A^3/atom.

---

#two
An optimized crystal structure of EuThNi2. Source: Alexandria via LeMat-Bulk, functional GGA-PBE.

Cell: 3.9733 3.9733 20.7626 Å, 90.00 90.00 120.00°
Space group R-3m (No. 166, hexagonal axes)
One atom of each set of equivalent atoms:
1 Eu 0.0000 0.0000 0.0000 x3
2 Th 0.0000 0.0000 0.5000 x3
3 Ni 0.0000 0.0000 0.2422 x6

Calculated values
For the total magnetic moment, the calculation gives 7.1 μB per formula unit. Its calculated volume is 23.66 A^3/atom.

---

#three
An optimized crystal structure of EuThNi2. Source: Alexandria via LeMat-Bulk, functional GGA-PBE.

Cell: 3.539 3.539 7.080 Å, 90.00 90.00 90.00°
Space group P4/mmm (No. 123)
One atom of each set of equivalent atoms:
1 Eu 0.000 0.000 0.000 x1
2 Th 0.000 0.000 0.500 x1
3 Ni 0.500 0.500 0.302 x2

Calculated values
For the total magnetic moment, the calculation gives 7.1 μB per formula unit. Its calculated volume is 22.17 A^3/atom.

---

Which structure is the least stable? The one labeled #one.

---

#one
An optimized crystal structure of EuNpPb2. Source: Alexandria via LeMat-Bulk, functional GGA-PBE.

Cell: 3.517 3.517 9.422 Å, 90.00 90.00 90.00°
Space group P4/mmm (No. 123)
One atom of each set of equivalent atoms:
1 Eu 0.000 0.000 0.000 x1
2 Np 0.000 0.000 0.500 x1
3 Pb 0.500 0.500 0.255 x2

Calculated values
For the total magnetic moment, the calculation gives 2.3 μB per formula unit. Its calculated volume is 29.13 A^3/atom.

---

#two
An optimized crystal structure of EuNpPb2. Source: Alexandria via LeMat-Bulk, functional GGA-PBE.

Cell: 3.4497 3.4497 36.7029 Å, 90.00 90.00 120.00°
Space group R-3m (No. 166, hexagonal axes)
One atom of each set of equivalent atoms:
1 Eu 0.0000 0.0000 0.0000 x3
2 Np 0.0000 0.0000 0.5000 x3
3 Pb 0.0000 0.0000 0.0896 x6

Calculated values
For the total magnetic moment, the calculation gives 12.7 μB per formula unit. Its calculated volume is 31.52 A^3/atom.

---

Which structure is the least stable? The one labeled #two.

---

#one
An optimized crystal structure of Eu2PbO. Source: Alexandria via LeMat-Bulk, functional GGA-PBE.

Cell: 3.316 3.316 8.186 Å, 90.00 90.00 90.00°
Space group P4/mmm (No. 123)
One atom of each set of equivalent atoms:
1 Eu 0.000 0.000 0.185 x2
2 Pb 0.500 0.500 0.500 x1
3 O 0.500 0.500 0.000 x1

Calculated values
For the total magnetic moment, the calculation gives 14.1 μB per formula unit. Its calculated volume is 22.50 A^3/atom.

---

#two
An optimized crystal structure of Eu2PbO. Source: Alexandria via LeMat-Bulk, functional GGA-PBE.

Cell: 3.7328 3.7328 24.3884 Å, 90.00 90.00 120.00°
Space group R-3m (No. 166, hexagonal axes)
One atom of each set of equivalent atoms:
1 Eu 0.0000 0.0000 0.2238 x6
2 Pb 0.0000 0.0000 0.0000 x3
3 O 0.0000 0.0000 0.5000 x3

Calculated values
For the total magnetic moment, the calculation gives 14.1 μB per formula unit. Its calculated volume is 24.52 A^3/atom.

---

Which structure is the least stable? The one labeled #one.